No. 1
Material: Pm2GdBe
Method: DFT, PBE
State: relaxed

POSCAR file:
```
Pm2GdBe
1.0
3.5616 0.0000 0.0000
0.0000 3.5616 0.0000
0.0000 0.0000 8.6799
Pm Gd Be
2 1 1
Cartesian
0.0000 0.0000 1.6866
0.0000 0.0000 6.9933
1.7808 1.7808 4.3400
1.7808 1.7808 0.0000
```

Values from the calculation:
The calculation puts the distance to the lowest polymorph of the same formula at 0 meV per atom. The spin magnetization is 7.6 μB per cell. For the formation energy, the calculation gives 0.11 eV/atom. As for the space-group type: P4/mmm.



No. 2
Material: FePdS2
Method: DFT, PBE
State: relaxed

POSCAR file:
```
FePdS2
1.0
3.1895 0.0000 0.0000
-1.5948 2.7622 0.0000
0.0000 0.0000 21.5949
Fe Pd S
3 3 6
Cartesian
0.0000 0.0000 0.0000
0.0000 1.8415 14.3966
1.5948 0.9207 7.1983
0.0000 0.0000 10.7974
0.0000 1.8415 3.5992
1.5948 0.9207 17.9957
0.0000 0.0000 8.5065
0.0000 0.0000 13.0884
0.0000 1.8415 1.3082
0.0000 1.8415 5.8901
1.5948 0.9207 15.7048
1.5948 0.9207 20.2867
```

Values from the calculation:
As for the uncorrected formation energy: -270 meV/atom. The spin magnetization is 5.5 μB per cell. As for the space-group type: R-3m.



No. 3
Material: GeMoCl2
Method: DFT, PBE
State: relaxed

POSCAR file:
```
GeMoCl2
1.0
6.5623 0.0000 0.0000
0.0000 6.5623 0.0000
0.0000 0.0000 6.5623
Ge Mo Cl
4 4 8
Cartesian
0.0000 0.0000 0.0000
0.0000 3.2811 3.2811
3.2811 0.0000 3.2811
3.2811 3.2811 0.0000
0.0000 0.0000 3.2811
0.0000 3.2811 0.0000
3.2811 0.0000 0.0000
3.2811 3.2811 3.2811
1.6406 1.6406 1.6406
1.6406 1.6406 4.9217
1.6406 4.9217 1.6406
1.6406 4.9217 4.9217
4.9217 1.6406 1.6406
4.9217 1.6406 4.9217
4.9217 4.9217 1.6406
4.9217 4.9217 4.9217
```

Values from the calculation:
As for the uncorrected formation energy: 610 meV/atom. The calculation puts the distance to the lowest polymorph of the same formula at 0 meV per atom. The spin magnetization is 7.0 μB per cell. As for the space-group type: Fm-3m.



No. 4
Material: LaTa2Cu
Method: DFT, PBE
State: relaxed

POSCAR file:
```
LaTa2Cu
1.0
2.9312 0.0000 0.0000
0.0000 2.9312 0.0000
0.0000 0.0000 9.1369
La Ta Cu
1 2 1
Cartesian
0.0000 0.0000 0.0000
1.4656 1.4656 2.7637
1.4656 1.4656 6.3731
0.0000 0.0000 4.5684
```

Values from the calculation:
The calculation puts the distance to the lowest polymorph of the same formula at 159 meV per atom. The spin magnetization is 0.0 μB per cell. For the formation energy, the calculation gives 0.41 eV/atom. As for the space-group type: P4/mmm.



No. 5
Material: CePm2YP4
Method: DFT, PBE
State: relaxed

POSCAR file:
```
CePm2YP4
1.0
7.0702 0.0000 0.0000
0.0000 4.0898 0.0000
-2.3518 0.0000 6.6831
Ce Pm Y P
1 2 1 4
Cartesian
0.0000 0.0000 0.0000
-1.1759 2.0449 3.3416
2.3592 0.0000 3.3416
3.5351 2.0449 0.0000
1.1826 2.0449 1.6281
0.0000 0.0000 5.0614
4.7183 0.0000 1.6217
3.5358 2.0449 5.0551
```

Values from the calculation:
The spin magnetization is 0.4 μB per cell. For the formation energy, the calculation gives -1.57 eV/atom. As for the space-group type: P2/m.



No. 6
Material: LaOs2W
Method: DFT, PBE
State: relaxed

POSCAR file:
```
LaOs2W
1.0
3.0977 0.0000 0.0000
0.0000 3.0977 0.0000
0.0000 0.0000 7.8636
La Os W
1 2 1
Cartesian
0.0000 0.0000 0.0000
0.0000 0.0000 3.9533
1.5489 1.5489 2.3015
1.5489 1.5489 5.3704
```

Values from the calculation:
The calculation puts the distance to the lowest polymorph of the same formula at 435 meV per atom. The spin magnetization is 0.0 μB per cell. For the formation energy, the calculation gives 0.57 eV/atom. As for the space-group type: P4mm.



No. 7
Material: Sc2TlSiHg
Method: DFT, PBE
State: relaxed

POSCAR file:
```
Sc2TlSiHg
1.0
5.0769 0.0000 0.0000
0.0000 5.0769 0.0000
0.0000 0.0000 4.9330
Sc Tl Si Hg
2 1 1 1
Cartesian
0.0000 2.5385 0.0000
2.5385 0.0000 0.0000
0.0000 0.0000 2.4665
2.5385 2.5385 0.0000
2.5385 2.5385 2.4665
```

Values from the calculation:
As for the uncorrected formation energy: -12 meV/atom. The spin magnetization is 0.0 μB per cell. As for the space-group type: P4/mmm.



No. 8
Material: TaGaPt6
Method: DFT, PBE
State: relaxed

POSCAR file:
```
TaGaPt6
1.0
3.9826 0.0000 0.0000
0.0000 3.9826 0.0000
0.0000 0.0000 7.9289
Ta Ga Pt
1 1 6
Cartesian
0.0000 0.0000 0.0000
0.0000 0.0000 3.9644
0.0000 1.9913 1.9437
0.0000 1.9913 5.9851
1.9913 0.0000 1.9437
1.9913 0.0000 5.9851
1.9913 1.9913 0.0000
1.9913 1.9913 3.9644
```

Values from the calculation:
The spin magnetization is 0.0 μB per cell. For the formation energy, the calculation gives -0.63 eV/atom. As for the space-group type: P4/mmm.



No. 9
Material: U5Hg
Method: DFT, PBE
State: relaxed

POSCAR file:
```
U5Hg
1.0
5.3092 0.0000 0.0000
0.0000 15.8377 0.0000
0.0000 0.0000 3.0181
U Hg
10 2
Cartesian
0.0000 0.0000 0.0000
0.0000 2.4766 1.5091
0.0000 5.0418 0.0000
0.0000 10.7960 0.0000
0.0000 13.3611 1.5091
2.6546 2.8771 0.0000
2.6546 5.4423 1.5091
2.6546 7.9189 0.0000
2.6546 10.3954 1.5091
2.6546 12.9606 0.0000
0.0000 7.9189 1.5091
2.6546 0.0000 1.5091
```

Values from the calculation:
The spin magnetization is 1.9 μB per cell. For the formation energy, the calculation gives 0.22 eV/atom. As for the space-group type: Cmmm.



No. 10
Material: HgGeBi
Method: DFT, PBE
State: relaxed

POSCAR file:
```
HgGeBi
1.0
4.3031 0.0000 0.0000
1.7092 6.1528 0.0000
1.7132 0.4472 6.1483
Hg Ge Bi
2 2 2
Cartesian
0.0000 0.0000 0.0000
3.8641 1.8813 4.5967
2.4927 4.4572 3.7631
4.6437 5.5074 2.6299
1.5915 2.1233 2.1421
3.7423 3.7231 0.4169
```

Values from the calculation:
The calculation puts the distance to the lowest polymorph of the same formula at 40 meV per atom. The spin magnetization is 0.0 μB per cell. For the formation energy, the calculation gives 0.16 eV/atom. As for the space-group type: P1.



No. 11
Material: AcGeS2
Method: DFT, PBE
State: relaxed

POSCAR file:
```
AcGeS2
1.0
4.7879 0.0000 0.0000
-2.3940 4.1465 0.0000
0.0000 0.0000 14.0403
Ac Ge S
3 3 6
Cartesian
0.0000 0.0000 0.0000
0.0000 2.7643 9.3602
2.3940 1.3822 4.6801
0.0000 0.0000 7.0202
0.0000 2.7643 2.3401
2.3940 1.3822 11.7002
0.0000 0.0000 3.2731
0.0000 0.0000 10.7672
0.0000 2.7643 6.0871
0.0000 2.7643 12.6333
2.3940 1.3822 1.4070
2.3940 1.3822 7.9532
```

Values from the calculation:
As for the uncorrected formation energy: -1048 meV/atom. The calculation puts the distance to the lowest polymorph of the same formula at 277 meV per atom. The spin magnetization is 0.0 μB per cell. As for the space-group type: R-3m.



No. 12
Material: CsIn2IrAu
Method: DFT, PBE
State: relaxed

POSCAR file:
```
CsIn2IrAu
1.0
5.1924 0.0000 0.0000
0.0000 5.1924 0.0000
0.0000 0.0000 5.5673
Cs In Ir Au
1 2 1 1
Cartesian
0.0000 0.0000 0.0000
0.0000 2.5962 2.7836
2.5962 0.0000 2.7836
2.5962 2.5962 2.7836
2.5962 2.5962 0.0000
```

Values from the calculation:
The spin magnetization is 0.0 μB per cell. For the formation energy, the calculation gives -0.09 eV/atom. As for the space-group type: P4/mmm.